Record 1
VASP calculation (GGA-PBE) on a relaxed structure of Rb12Au5Br3.

Cell lengths 14.8907, 14.8907, 5.0819 Å; angles 90.00, 90.00, 120.00 degrees
Space group P-62m (No. 189)
Symmetry-distinct sites (fractional):
Rb 0.0000 0.1693 0.0000 x3
Rb 0.0000 0.4745 0.0000 x3
Rb 0.1921 0.7371 0.5000 x6
Au 0.0000 0.7051 0.0000 x3
Au 0.3333 0.6667 0.0000 x2
Br 0.0000 0.3288 0.5000 x3

Total magnetic moment: 0.000 μB/atom
Formation energy without anion corrections: -611.2 meV/atom

---

Record 2
VASP calculation (GGA-PBE) on a relaxed structure of GaCuPCl2.

Cell lengths 5.0172, 5.0172, 4.5005 Å; angles 90.00, 90.00, 90.00 degrees
Space group P4/mmm (No. 123)
Symmetry-distinct sites (fractional):
Ga 0.0000 0.0000 0.0000 x1
Cu 0.5000 0.5000 0.5000 x1
P 0.5000 0.5000 0.0000 x1
Cl 0.0000 0.5000 0.5000 x2

Total magnetic moment: 0.358 μB/atom
Formation energy without anion corrections: 87.1 meV/atom

---

Record 3
VASP calculation (GGA-PBE) on a relaxed structure of AlAs2Au.

Cell lengths 2.8257, 3.5968, 7.7181 Å; angles 90.00, 100.42, 90.00 degrees
Space group Pm (No. 6)
Symmetry-distinct sites (fractional):
Al 0.0000 0.0000 0.0000 x1
As 0.7355 0.0000 0.4788 x1
As 0.8594 0.5000 0.7303 x1
Au 0.5947 0.5000 0.1924 x1

Total magnetic moment: 0.000 μB/atom
DFT formation energy: -3.5 kJ per mole of atoms

---

Record 4
VASP calculation (GGA-PBE) on a relaxed structure of AcTbEr.

Cell lengths 4.6263, 4.6263, 6.0321 Å; angles 90.00, 90.00, 90.00 degrees
Space group P4/mmm (No. 123)
Symmetry-distinct sites (fractional):
Ac 0.0000 0.0000 0.0000 x1
Tb 0.5000 0.5000 0.5000 x1
Er 0.5000 0.5000 0.0000 x1

Total magnetic moment: 0.000 μB/atom
DFT formation energy: 83.9 kJ per mole of atoms

---

Record 5
VASP calculation (GGA-PBE) on a relaxed structure of NpTl2AsS4.

Cell lengths 8.2856, 8.3196, 11.6983 Å; angles 90.00, 90.00, 90.00 degrees
Space group Imma (No. 74)
Symmetry-distinct sites (fractional):
Np 0.0000 0.0000 0.0000 x4
Tl 0.0000 0.0000 0.5000 x4
Tl 0.2500 0.2500 0.2500 x4
As 0.2500 0.2500 0.7500 x4
S 0.0000 0.0430 0.7646 x8
S 0.2169 0.2500 0.9771 x8

Total magnetic moment: 0.488 μB/atom
Formation energy without anion corrections: -535.5 meV/atom

---

Record 6
VASP calculation (GGA-PBE) on a relaxed structure of Tm2Al5Fe2Cu.

Cell lengths 9.1087, 9.1087, 4.0862 Å; angles 90.00, 90.00, 90.00 degrees
Space group P4/mbm (No. 127)
Symmetry-distinct sites (fractional):
Tm 0.1871 0.3129 0.0000 x4
Al 0.0000 0.5000 0.5000 x2
Al 0.0592 0.7897 0.5000 x8
Fe 0.1005 0.6005 0.0000 x4
Cu 0.0000 0.0000 0.0000 x2

Total magnetic moment: 0.264 μB/atom
DFT formation energy: -25.7 kJ per mole of atoms

---

Record 7
VASP calculation (GGA-PBE) on a relaxed structure of Ce2PuPb3.

Cell lengths 4.2133, 4.2133, 9.8188 Å; angles 90.00, 90.00, 90.00 degrees
Space group P4/mmm (No. 123)
Symmetry-distinct sites (fractional):
Ce 0.0000 0.0000 0.1742 x2
Pu 0.0000 0.0000 0.5000 x1
Pb 0.5000 0.5000 0.0000 x1
Pb 0.5000 0.5000 0.3360 x2

Total magnetic moment: 1.369 μB/atom
DFT formation energy: -31.0 kJ per mole of atoms

---

Record 8
VASP calculation (GGA-PBE) on a relaxed structure of Dy2Zn2Ga3.

Cell lengths 4.2967, 18.5832, 6.9012 Å; angles 90.00, 90.00, 90.00 degrees
Space group Cmcm (No. 63)
Symmetry-distinct sites (fractional):
Dy 0.0000 0.0496 0.2500 x4
Dy 0.0000 0.1572 0.7500 x4
Zn 0.0000 0.3146 0.5618 x8
Ga 0.0000 0.2234 0.2500 x4
Ga 0.0000 0.4398 0.0705 x8

Total magnetic moment: 0.000 μB/atom
DFT formation energy: -52.5 kJ per mole of atoms

---

Record 9
VASP calculation (GGA-PBE) on a relaxed structure of AlInAg2.

Cell lengths 3.4162, 3.8998, 5.7377 Å; angles 90.00, 90.00, 90.00 degrees
Space group Pmm2 (No. 25)
Symmetry-distinct sites (fractional):
Al 0.0000 0.0000 0.0000 x1
In 0.5000 0.5000 0.2830 x1
Ag 0.0000 0.0000 0.5249 x1
Ag 0.5000 0.5000 0.7892 x1

Total magnetic moment: 0.000 μB/atom
DFT formation energy: 1.2 kJ per mole of atoms

---

Record 10
VASP calculation (GGA-PBE) on a relaxed structure of ErSc3Al8.

Cell lengths 5.3991, 5.3991, 8.8335 Å; angles 90.00, 90.00, 120.00 degrees
Space group P3m1 (No. 156)
Symmetry-distinct sites (fractional):
Er 0.0000 0.0000 0.0000 x1
Sc 0.0000 0.0000 0.3670 x1
Sc 0.6667 0.3333 0.5000 x1
Sc 0.6667 0.3333 0.8623 x1
Al 0.1619 0.3238 0.6803 x3
Al 0.3333 0.6667 0.4343 x1
Al 0.3333 0.6667 0.9324 x1
Al 0.5048 0.0096 0.1866 x3

Total magnetic moment: 0.000 μB/atom
DFT formation energy: -46.5 kJ per mole of atoms

---

Record 11
VASP calculation (GGA-PBE) on a relaxed structure of KBi2F.

Cell lengths 6.1190, 6.1190, 16.5869 Å; angles 90.00, 90.00, 90.00 degrees
Space group I-42d (No. 122)
Symmetry-distinct sites (fractional):
K 0.0000 0.0000 0.0000 x4
Bi 0.0036 0.2500 0.6250 x8
F 0.0000 0.0000 0.5000 x4

Total magnetic moment: 0.000 μB/atom
Formation energy without anion corrections: -608.3 meV/atom

---

Record 12
VASP calculation (GGA-PBE) on a relaxed structure of PbICl6.

Cell lengths 6.6591, 6.9416, 7.3684 Å; angles 63.89, 89.05, 64.59 degrees
Space group P-1 (No. 2)
Symmetry-distinct sites (fractional):
Pb 0.0000 0.0000 0.0000 x1
I 0.5000 0.0000 0.5000 x1
Cl 0.1153 0.5333 0.2310 x2
Cl 0.2703 0.8232 0.7298 x2
Cl 0.4346 0.8528 0.2612 x2

Total magnetic moment: 0.000 μB/atom
Formation energy without anion corrections: -410.5 meV/atom

---

Record 13
VASP calculation (GGA-PBE) on a relaxed structure of TlBIrAu2.

Cell lengths 5.2390, 5.2390, 4.0559 Å; angles 90.00, 90.00, 90.00 degrees
Space group P4/mmm (No. 123)
Symmetry-distinct sites (fractional):
Tl 0.0000 0.0000 0.0000 x1
B 0.0000 0.0000 0.5000 x1
Ir 0.5000 0.5000 0.5000 x1
Au 0.0000 0.5000 0.0000 x2

Total magnetic moment: 0.000 μB/atom
DFT formation energy: 187.7 kJ per mole of atoms

---

Record 14
VASP calculation (GGA-PBE) on a relaxed structure of Rb2AcCl6.

Cell lengths 4.6176, 14.7148, 8.4678 Å; angles 90.00, 90.00, 90.00 degrees
Space group Amm2 (No. 38)
Symmetry-distinct sites (fractional):
Rb 0.0000 0.1671 0.0000 x4
Ac 0.5000 0.0000 0.5016 x2
Cl 0.0000 0.0000 0.7387 x2
Cl 0.0000 0.1182 0.3819 x4
Cl 0.5000 0.0000 0.1459 x2
Cl 0.5000 0.1779 0.6777 x4

Total magnetic moment: 0.127 μB/atom
Formation energy without anion corrections: -1907.0 meV/atom

---

Record 15
VASP calculation (GGA-PBE) on a relaxed structure of SrLi2Tl.

Cell lengths 3.8601, 3.8601, 7.6312 Å; angles 90.00, 90.00, 90.00 degrees
Space group P4mm (No. 99)
Symmetry-distinct sites (fractional):
Sr 0.0000 0.0000 0.0000 x1
Li 0.0000 0.0000 0.4771 x1
Li 0.5000 0.5000 0.6695 x1
Tl 0.5000 0.5000 0.2922 x1

Total magnetic moment: 0.000 μB/atom
DFT formation energy: -14.0 kJ per mole of atoms

---

Record 16
VASP calculation (GGA-PBE) on a relaxed structure of Mo2Rh2W.

Cell lengths 7.5403, 7.5403, 2.7526 Å; angles 90.00, 90.00, 90.00 degrees
Space group P4/mbm (No. 127)
Symmetry-distinct sites (fractional):
Mo 0.1729 0.3271 0.0000 x4
Rh 0.1242 0.6242 0.5000 x4
W 0.0000 0.0000 0.5000 x2

Total magnetic moment: 0.000 μB/atom
DFT formation energy: 13.3 kJ per mole of atoms

---

Record 17
VASP calculation (GGA-PBE) on a relaxed structure of NdGdAg.

Cell lengths 5.1221, 5.1221, 3.7142 Å; angles 90.00, 90.00, 120.00 degrees
Space group P3m1 (No. 156)
Symmetry-distinct sites (fractional):
Nd 0.0000 0.0000 0.0000 x1
Gd 0.3333 0.6667 0.5640 x1
Ag 0.6667 0.3333 0.3142 x1

Total magnetic moment: 2.446 μB/atom
DFT formation energy: -2.3 kJ per mole of atoms

---

Record 18
VASP calculation (GGA-PBE) on a relaxed structure of Dy2Sc3Te2.

Cell lengths 11.7878, 3.9778, 8.2768 Å; angles 90.00, 111.45, 90.00 degrees
Space group C2/m (No. 12)
Symmetry-distinct sites (fractional):
Dy 0.1303 0.0000 0.2895 x4
Sc 0.0000 0.5000 0.5000 x2
Sc 0.1207 0.5000 0.9504 x4
Te 0.1662 0.0000 0.7127 x4

Total magnetic moment: 0.000 μB/atom
Formation energy without anion corrections: -693.9 meV/atom

---

Record 19
VASP calculation (GGA-PBE) on a relaxed structure of Ho3TeP2.

Cell lengths 7.2308, 11.3582, 8.2138 Å; angles 90.00, 90.00, 90.00 degrees
Space group Imma (No. 74)
Symmetry-distinct sites (fractional):
Ho 0.2319 0.0000 0.0000 x8
Ho 0.2500 0.2500 0.2500 x4
Te 0.0000 0.2500 0.9165 x4
P 0.0000 0.0628 0.2849 x8

Total magnetic moment: 0.000 μB/atom
Formation energy without anion corrections: -1112.0 meV/atom

---

Record 20
VASP calculation (GGA-PBE) on a relaxed structure of CaLa2Eu.

Cell lengths 8.5782, 8.5782, 8.5782 Å; angles 90.00, 90.00, 90.00 degrees
Space group Fm-3m (No. 225)
Symmetry-distinct sites (fractional):
Ca 0.0000 0.0000 0.0000 x4
La 0.2500 0.2500 0.2500 x8
Eu 0.0000 0.0000 0.5000 x4

Total magnetic moment: 1.861 μB/atom
DFT formation energy: 10.2 kJ per mole of atoms

---

Record 21
VASP calculation (GGA-PBE) on a relaxed structure of BeBIr.

Cell lengths 4.9851, 4.9851, 4.9851 Å; angles 90.00, 90.00, 90.00 degrees
Space group F-43m (No. 216)
Symmetry-distinct sites (fractional):
Be 0.0000 0.0000 0.0000 x4
B 0.2500 0.2500 0.7500 x4
Ir 0.0000 0.0000 0.5000 x4

Total magnetic moment: 0.000 μB/atom
DFT formation energy: -27.3 kJ per mole of atoms

---

Record 22
VASP calculation (GGA-PBE) on a relaxed structure of HgPd3Br.

Cell lengths 4.8057, 4.8057, 4.8057 Å; angles 90.00, 90.00, 90.00 degrees
Space group Pm-3m (No. 221)
Symmetry-distinct sites (fractional):
Hg 0.0000 0.0000 0.0000 x1
Pd 0.0000 0.5000 0.5000 x3
Br 0.5000 0.5000 0.5000 x1

Total magnetic moment: 0.000 μB/atom
Formation energy without anion corrections: 477.2 meV/atom

---

Record 23
VASP calculation (GGA-PBE) on a relaxed structure of TbSm2Tm3.

Cell lengths 17.6802, 3.4853, 14.1011 Å; angles 90.00, 117.40, 90.00 degrees
Space group C2/m (No. 12)
Symmetry-distinct sites (fractional):
Tb 0.0624 0.0000 0.1434 x4
Sm 0.1564 0.0000 0.9685 x4
Sm 0.1803 0.5000 0.3819 x4
Tm 0.0394 0.5000 0.7090 x4
Tm 0.0985 0.0000 0.5259 x4
Tm 0.2374 0.0000 0.7920 x4

Total magnetic moment: 0.000 μB/atom
DFT formation energy: 11.6 kJ per mole of atoms

---

Record 24
VASP calculation (GGA-PBE) on a relaxed structure of Pm2PdAu6.

Cell lengths 10.7189, 6.1870, 5.8192 Å; angles 90.00, 90.02, 90.00 degrees
Space group C2/m (No. 12)
Symmetry-distinct sites (fractional):
Pm 0.1668 0.0000 0.3427 x4
Pd 0.0000 0.5000 0.5000 x2
Au 0.0910 0.2292 0.8196 x8
Au 0.1808 0.5000 0.1816 x4

Total magnetic moment: 0.000 μB/atom
DFT formation energy: -53.4 kJ per mole of atoms